This record from Alexandria via LeMat-Bulk describes a geometry-optimized NiPtO3 structure. The functional is PBE+U.

Cell lengths 5.230, 5.230, 5.522 Å; angles 61.73, 61.73, 60.00 degrees
Last column: magnetic moment on the atom in μB.
Fractional coordinates of all 10 atoms:
O: 0.051 0.443 0.747  0.06
O: 0.758 0.051 0.747  0.06
O: 0.443 0.758 0.747  0.06
O: 0.949 0.557 0.253  0.06
O: 0.242 0.949 0.253  0.06
O: 0.557 0.242 0.253  0.06
Ni: 0.641 0.641 0.076  1.75
Ni: 0.359 0.359 0.924  1.75
Pt: 0.843 0.843 0.471  0.04
Pt: 0.157 0.157 0.529  0.04

Uncorrected energy (eV/f.u.): -27.04
Magnetic moment (μB per formula unit): 1.995
Calculated density (g/cm3): 9.2